Material: B7C3
Method: DFT, GGA-PBE
State: optimized geometry

Values from the calculation:
Total magnetization ... 0.00 Bohr magnetons per cell
Formation enthalpy at 0 K ... 0.3821 eV per atom
V ... 68.95 Å³/cell
Theoretical density ... 2.7 g/cm3
Symmetry ... No. 8

a b c (Å): 4.4977 4.4977 7.1498
angles (deg): 121.70 121.70 34.83
With the nearest neighbours (Å) after each atom.
Sites, in units of the cell vectors:
B 0.0000 0.0000 0.0000  1 C 1.58, 2 B 1.68
B 0.1693 0.1693 0.4956  2 C 1.57-1.66
B 0.2998 0.2998 0.2568  1 C 1.62, 4 B 1.80
B 0.5253 0.5253 0.2792  6 B 1.85-1.90
B 0.6373 0.6373 0.1153  5 B 1.68-1.80
B 0.8510 0.8510 0.1308  1 C 1.70, 5 B 1.77-1.85
B 0.9669 0.9669 0.6100  3 C 1.56-1.57
C 0.1854 0.1854 0.7378  2 C 1.56, 2 B 1.57-1.66
C 0.3611 0.3611 0.5153  4 B 1.56-1.62
C 0.7799 0.7799 0.8568  2 C 1.56, 2 B 1.58-1.70


Material: KSiAu3
Method: DFT, GGA-PBE
State: optimized geometry

Values from the calculation:
Energy relative to the elements, uncorrected ... -17.0 kJ/mol of atoms
Total magnetization ... 0.00 Bohr magnetons per cell
V ... 559.26 Å³/cell
Theoretical density ... 7.8 g/cm3
Symmetry ... No. 14

a b c (Å): 8.6493 5.3723 12.9094
angles (deg): 90.00 111.20 90.00
With the nearest neighbours (Å) after each atom.
Sites, in units of the cell vectors:
K 0.1278 0.0153 0.1694  4 Au 3.24-3.62
K 0.1278 0.4847 0.6694  4 Au 3.24-3.62
K 0.8722 0.5153 0.3306  4 Au 3.24-3.62
K 0.8722 0.9847 0.8306  4 Au 3.24-3.62
Si 0.3971 0.1631 0.4696  5 Au 2.39-2.64, 1 Si 2.42
Si 0.3971 0.3369 0.9696  5 Au 2.39-2.64, 1 Si 2.42
Si 0.6029 0.6631 0.0304  5 Au 2.39-2.64, 1 Si 2.42
Si 0.6029 0.8369 0.5304  5 Au 2.39-2.64, 1 Si 2.42
Au 0.1296 0.0552 0.4716  1 Si 2.39, 1 Au 2.67
Au 0.1296 0.4448 0.9716  1 Si 2.39, 1 Au 2.67
Au 0.4826 0.5073 0.1746  2 Si 2.58-2.64, 3 Au 2.69-2.85
Au 0.4826 0.9927 0.6746  2 Si 2.58-2.64, 3 Au 2.69-2.85
Au 0.4889 0.5113 0.3842  2 Si 2.44-2.50, 1 Au 2.69
Au 0.4889 0.9887 0.8842  2 Si 2.44-2.50, 1 Au 2.69
Au 0.5111 0.0113 0.1158  2 Si 2.44-2.50, 1 Au 2.69
Au 0.5111 0.4887 0.6158  2 Si 2.44-2.50, 1 Au 2.69
Au 0.5174 0.0073 0.3253  2 Si 2.58-2.64, 3 Au 2.69-2.85
Au 0.5174 0.4927 0.8254  2 Si 2.58-2.64, 3 Au 2.69-2.85
Au 0.8704 0.5552 0.0284  1 Si 2.39, 1 Au 2.67
Au 0.8704 0.9448 0.5284  1 Si 2.39, 1 Au 2.67


Material: Dy4Si2S3O7
Method: DFT, GGA-PBE
State: optimized geometry

Values from the calculation:
Energy relative to the elements, uncorrected ... -276.7 kJ/mol of atoms
Total magnetization ... 0.05 Bohr magnetons per cell
V ... 942.63 Å³/cell
Theoretical density ... 6.4 g/cm3
Symmetry ... No. 141

a b c (Å): 10.7571 10.7571 10.7571
angles (deg): 113.90 113.90 100.94
With the nearest neighbours (Å) after each atom.
Sites, in units of the cell vectors:
Dy 0.0472 0.2972 0.0944  6 O 2.38-2.53
Dy 0.0472 0.9528 0.7500  6 O 2.38-2.53
Dy 0.1727 0.6584 0.5143  3 O 2.29-2.44
Dy 0.2972 0.0472 0.5944  6 O 2.38-2.53
Dy 0.2972 0.7028 0.2500  6 O 2.38-2.53
Dy 0.3416 0.3559 0.5143  3 O 2.29-2.44
Dy 0.3416 0.8273 0.9857  3 O 2.29-2.44
Dy 0.3559 0.3416 0.0143  3 O 2.29-2.44
Dy 0.6441 0.6584 0.9857  3 O 2.29-2.44
Dy 0.6584 0.1727 0.0143  3 O 2.29-2.44
Dy 0.6584 0.6441 0.4857  3 O 2.29-2.44
Dy 0.7028 0.2972 0.7500  6 O 2.38-2.53
Dy 0.7028 0.9528 0.4056  6 O 2.38-2.53
Dy 0.8273 0.3416 0.4857  3 O 2.29-2.44
Dy 0.9528 0.0472 0.2500  6 O 2.38-2.53
Dy 0.9528 0.7028 0.9056  6 O 2.38-2.53
Si 0.0961 0.2210 0.6249  4 O 1.64-1.65
Si 0.0961 0.4711 0.8751  4 O 1.64-1.65
Si 0.2210 0.0961 0.1249  4 O 1.64-1.65
Si 0.4711 0.0961 0.3751  4 O 1.64-1.65
Si 0.5289 0.9039 0.6249  4 O 1.64-1.65
Si 0.7790 0.9039 0.8751  4 O 1.64-1.65
Si 0.9039 0.5289 0.1249  4 O 1.64-1.65
Si 0.9039 0.7790 0.3751  4 O 1.64-1.65
S 0.0000 0.3537 0.3537  4 Dy 2.77-2.88, 2 O 3.04
S 0.0000 0.6463 0.6463  4 Dy 2.77-2.88, 2 O 3.04
S 0.1250 0.8750 0.2500  4 Dy 2.86, 8 O 3.17
S 0.3537 0.0000 0.8537  4 Dy 2.77-2.88, 2 O 3.04
S 0.3537 0.5000 0.3537  4 Dy 2.77-2.88, 2 O 3.04
S 0.3750 0.6250 0.7500  4 Dy 2.80, 2 O 3.09
S 0.5000 0.3537 0.8537  4 Dy 2.77-2.88, 2 O 3.04
S 0.5000 0.6463 0.1463  4 Dy 2.77-2.88, 2 O 3.04
S 0.6250 0.3750 0.2500  4 Dy 2.80, 2 O 3.09
S 0.6463 0.0000 0.1463  4 Dy 2.77-2.88, 2 O 3.04
S 0.6463 0.5000 0.6463  4 Dy 2.77-2.88, 2 O 3.04
S 0.8750 0.1250 0.7500  4 Dy 2.86, 8 O 3.17
O 0.0817 0.5671 0.2321  1 Si 1.64
O 0.0817 0.8496 0.5146  1 Si 1.64
O 0.1493 0.3993 0.7500  2 Si 1.64
O 0.1504 0.1650 0.2321  1 Si 1.64
O 0.1504 0.9183 0.9854  1 Si 1.64
O 0.1650 0.1504 0.7321  1 Si 1.64
O 0.1650 0.4329 0.0146  1 Si 1.64
O 0.1742 0.1916 0.5174  1 Si 1.65
O 0.1742 0.6568 0.9826  1 Si 1.65
O 0.1916 0.1742 0.0174  1 Si 1.65
O 0.3432 0.8258 0.5174  1 Si 1.65
O 0.3993 0.1493 0.2500  2 Si 1.64
O 0.4329 0.1650 0.5146  1 Si 1.64
O 0.4329 0.9183 0.2679  1 Si 1.64
O 0.5671 0.0817 0.7321  1 Si 1.64
O 0.5671 0.8350 0.4854  1 Si 1.64
O 0.6007 0.8507 0.7500  2 Si 1.64
O 0.6568 0.1742 0.4826  1 Si 1.65
O 0.8084 0.8258 0.9826  1 Si 1.65
O 0.8258 0.3432 0.0174  1 Si 1.65
O 0.8258 0.8084 0.4826  1 Si 1.65
O 0.8350 0.5671 0.9854  1 Si 1.64
O 0.8350 0.8496 0.2679  1 Si 1.64
O 0.8496 0.0817 0.0146  1 Si 1.64
O 0.8496 0.8350 0.7679  1 Si 1.64
O 0.8507 0.6007 0.2500  2 Si 1.64
O 0.9183 0.1504 0.4854  1 Si 1.64
O 0.9183 0.4329 0.7679  1 Si 1.64


Material: Li4PrSn2Au
Method: DFT, GGA-PBE
State: optimized geometry

Values from the calculation:
Total magnetization ... 0.00 Bohr magnetons per cell
Formation enthalpy at 0 K ... -0.4602 eV per atom
V ... 167.31 Å³/cell
Theoretical density ... 6.0 g/cm3
Symmetry ... No. 166

a b c (Å): 9.0898 9.0898 9.0898
angles (deg): 30.10 30.10 30.10
With the nearest neighbours (Å) after each atom.
Sites, in units of the cell vectors:
Li 0.0950 0.0950 0.0950  1 Au 2.47, 3 Sn 2.73
Li 0.3638 0.3638 0.3638  3 Au 2.84, 3 Li 3.15, 3 Sn 3.18
Li 0.6362 0.6362 0.6362  3 Au 2.84, 3 Li 3.15, 3 Sn 3.18
Li 0.9050 0.9050 0.9050  1 Au 2.47, 3 Sn 2.73
Pr 0.5000 0.5000 0.5000  8 Li 3.30-3.54, 6 Sn 3.33
Sn 0.2402 0.2402 0.2402  3 Li 2.73
Sn 0.7598 0.7598 0.7598  3 Li 2.73
Au 0.0000 0.0000 0.0000  2 Li 2.47


Material: Sc3ZnNi
Method: DFT, GGA-PBE
State: optimized geometry

Values from the calculation:
Total magnetization ... 0.00 Bohr magnetons per cell
Formation enthalpy at 0 K ... 0.0069 eV per atom
V ... 113.89 Å³/cell
Theoretical density ... 3.8 g/cm3
Symmetry ... No. 221

a b c (Å): 4.8472 4.8472 4.8472
angles (deg): 90.00 90.00 90.00
With the nearest neighbours (Å) after each atom.
Sites, in units of the cell vectors:
Sc 0.0000 0.0000 0.5000  2 Ni 2.42
Sc 0.0000 0.5000 0.0000  2 Ni 2.42
Sc 0.5000 0.0000 0.0000  2 Ni 2.42
Zn 0.5000 0.5000 0.5000  12 Sc 3.43
Ni 0.0000 0.0000 0.0000  6 Sc 2.42


Material: Nb2InHIr
Method: DFT, GGA-PBE
State: optimized geometry

Values from the calculation:
Total magnetization ... 0.00 Bohr magnetons per cell
V ... 72.95 Å³/cell
Theoretical density ... 11.2 g/cm3
Symmetry ... No. 123

a b c (Å): 4.1887 4.1887 4.1579
angles (deg): 90.00 90.00 90.00
With the nearest neighbours (Å) after each atom.
Sites, in units of the cell vectors:
Nb 0.0000 0.5000 0.0000  2 H 2.09
Nb 0.5000 0.0000 0.0000  2 H 2.09
In 0.0000 0.0000 0.5000  8 Nb 2.95, 4 Ir 2.96
H 0.5000 0.5000 0.0000  2 Ir 2.08, 4 Nb 2.09
Ir 0.5000 0.5000 0.5000  2 H 2.08


Results for final energy: -7.059; -3.446; -7.639; -3.425; -5.203; -7.150 (in eV/atom, following the order of the records).